1.
A plane-wave DFT calculation with GGA-PBE was carried out for CaTaMo4 after structural relaxation.

Values from the calculation:
energy: -0.339 hartree per atom
space group: F-43m
calculated volume: 109.9 Å³/cell

a = 5.377 Å, b = 5.377 Å, c = 5.377 Å
α = 60.00°, β = 60.00°, γ = 60.00°
Sites, in units of the cell vectors:
Ca 0.000 0.000 0.000
Ta 0.750 0.750 0.750
Mo 0.375 0.876 0.375
Mo 0.876 0.375 0.375
Mo 0.375 0.375 0.876
Mo 0.375 0.375 0.375


2.
A plane-wave DFT calculation with GGA-PBE was carried out for ZrBr3Cl after structural relaxation.

Values from the calculation:
raw formation energy: -0.85 eV per atom
excess energy over the best structure of this formula in the dataset: 0.554 eV/atom
energy: -0.145 hartree per atom
space group: Pm-3m
calculated volume: 147.8 Å³/cell

a = 5.288 Å, b = 5.288 Å, c = 5.288 Å
α = 90.00°, β = 90.00°, γ = 90.00°
Sites, in units of the cell vectors:
Zr 0.000 0.000 0.000
Br 0.000 0.500 0.000
Br 0.000 0.000 0.500
Br 0.500 0.000 0.000
Cl 0.500 0.500 0.500


3.
A plane-wave DFT calculation with GGA-PBE was carried out for Sr2YCdS4 after structural relaxation.

Values from the calculation:
raw formation energy: -1.65 eV per atom
energy: -0.186 hartree per atom
space group: P2/m
calculated volume: 197.5 Å³/cell

a = 4.097 Å, b = 7.305 Å, c = 7.015 Å
α = 109.88°, β = 90.00°, γ = 90.00°
Sites, in units of the cell vectors:
Sr 0.500 0.000 0.500
Sr 0.000 0.500 0.500
Y 0.500 0.500 0.000
Cd 0.000 0.000 0.000
S 0.500 0.251 0.225
S 0.500 0.749 0.775
S 0.000 0.264 0.769
S 0.000 0.736 0.231


4.
A plane-wave DFT calculation with GGA-PBE was carried out for LiNi2AgN after structural relaxation.

Values from the calculation:
raw formation energy: -0.14 eV per atom
energy: -0.186 hartree per atom
space group: P4/mmm
calculated volume: 56.8 Å³/cell

a = 3.730 Å, b = 3.730 Å, c = 4.086 Å
α = 90.00°, β = 90.00°, γ = 90.00°
Sites, in units of the cell vectors:
Ni 0.000 0.500 0.000
Ni 0.500 0.000 0.000
Li 0.000 0.000 0.500
Ag 0.500 0.500 0.500
N 0.000 0.000 0.000


no.,density (g/cm3)
1,9.13
2,4.12
3,4.25
4,7.19